The following is a PBE-GGA calculation of MgB2Sb after structural relaxation, from Alexandria.

Cell: 6.1729 6.1729 6.1729 Å, 90.00 90.00 90.00°
Atoms (fractional coordinates):
Mg 0.0000 0.0000 0.0000
Mg 0.0000 0.5000 0.5000
Mg 0.5000 0.0000 0.5000
Mg 0.5000 0.5000 0.0000
B 0.2500 0.2500 0.2500
B 0.2500 0.2500 0.7500
B 0.2500 0.7500 0.2500
B 0.2500 0.7500 0.7500
B 0.7500 0.2500 0.2500
B 0.7500 0.2500 0.7500
B 0.7500 0.7500 0.2500
B 0.7500 0.7500 0.7500
Sb 0.0000 0.0000 0.5000
Sb 0.0000 0.5000 0.0000
Sb 0.5000 0.0000 0.0000
Sb 0.5000 0.5000 0.5000

Its calculated total energy is -3.537 eV/atom. For the energy relative to the elements, uncorrected, the calculation gives 1.23 eV per atom. The calculation puts the density of states at the Fermi level at 5.93 states/eV/cell. Its volume is 235.2 Å³ per cell. The value obtained for the theoretical density is 4.74 g/cm3.